Crystalline TlReOs2 at its relaxed geometry, computed with PBE-GGA.

- E_form: 0.7891 eV/atom
- Crystal system: monoclinic
- Uncorrected energy: -8.5294 eV per atom
- SG: No. 12
- Volume: 16.57 Å³ per atom
- Energy above the most stable polymorph in this dataset: 247 meV per atom

Cell: 4.8532 4.8532 5.0472 Å, 80.60 80.60 34.45°
Element x y z (fractional)
Os 0.0148 0.0148 0.9608
Os 0.4852 0.4852 0.5392
Re 0.7500 0.7500 0.7500
Tl 0.2500 0.2500 0.2500

=====

Crystalline TlReOs2 at its relaxed geometry, computed with PBE-GGA.

- E_form: 0.7105 eV/atom
- Crystal system: monoclinic
- Uncorrected energy: -8.6079 eV per atom
- SG: No. 10
- Volume: 16.65 Å³ per atom
- Energy above the most stable polymorph in this dataset: 169 meV per atom

Cell: 3.7893 2.8365 6.8188 Å, 65.30 90.00 90.00°
Element x y z (fractional)
Os 0.0000 0.9632 0.0369
Os 0.0000 0.5368 0.4631
Re 0.5000 0.2500 0.2500
Tl 0.5000 0.7500 0.7500

=====

Crystalline TlReOs2 at its relaxed geometry, computed with PBE-GGA.

- E_form: 1.5482 eV/atom
- Crystal system: tetragonal
- Uncorrected energy: -7.7702 eV per atom
- SG: No. 122
- Volume: 23.53 Å³ per atom
- Energy above the most stable polymorph in this dataset: 1006 meV per atom

Cell: 6.4675 6.4675 6.4156 Å, 59.73 59.73 90.00°
Element x y z (fractional)
Re 0.5000 0.5000 0.0000
Re 0.2500 0.7500 0.5000
Tl 0.0000 0.0000 0.0000
Tl 0.7500 0.2500 0.5000
Os 0.5822 0.1250 0.2500
Os 0.1678 0.6250 0.2500
Os 0.3750 0.4178 0.7500
Os 0.8750 0.8322 0.7500

=====

Crystalline TlReOs2 at its relaxed geometry, computed with PBE-GGA.

- E_form: 1.0552 eV/atom
- Crystal system: cubic
- Uncorrected energy: -8.2633 eV per atom
- SG: No. 225
- Volume: 16.34 Å³ per atom
- Energy above the most stable polymorph in this dataset: 513 meV per atom

Cell: 4.5212 4.5212 4.5212 Å, 60.00 60.00 60.00°
Element x y z (fractional)
Re 0.0000 0.0000 0.0000
Tl 0.5000 0.5000 0.5000
Os 0.2500 0.2500 0.2500
Os 0.7500 0.7500 0.7500

=====

Crystalline TlReOs2 at its relaxed geometry, computed with PBE-GGA.

- E_form: 0.6632 eV/atom
- Crystal system: trigonal
- Uncorrected energy: -8.6553 eV per atom
- SG: No. 160
- Volume: 16.44 Å³ per atom
- Energy above the most stable polymorph in this dataset: 121 meV per atom

Cell: 9.4639 9.4639 9.4639 Å, 17.35 17.35 17.35°
Element x y z (fractional)
Os 0.9925 0.9925 0.9925
Os 0.2500 0.2500 0.2500
Re 0.5078 0.5078 0.5078
Tl 0.7496 0.7496 0.7496

=====

Crystalline TlReOs2 at its relaxed geometry, computed with PBE-GGA.

- E_form: 0.8853 eV/atom
- Crystal system: orthorhombic
- Uncorrected energy: -8.4332 eV per atom
- SG: No. 44
- Volume: 17.91 Å³ per atom
- Energy above the most stable polymorph in this dataset: 343 meV per atom

Cell: 6.5012 6.5012 6.5012 Å, 155.28 141.31 46.46°
Element x y z (fractional)
Os 0.0419 0.0419 0.0000
Os 0.2897 0.7897 0.5000
Re 0.4670 0.4670 0.0000
Tl 0.7015 0.2015 0.5000

=====

Please write out number 2 again, unchanged.
Crystalline TlReOs2 at its relaxed geometry, computed with PBE-GGA.

- E_form: 0.7105 eV/atom
- Crystal system: monoclinic
- Uncorrected energy: -8.6079 eV per atom
- SG: No. 10
- Volume: 16.65 Å³ per atom
- Energy above the most stable polymorph in this dataset: 169 meV per atom

Cell: 3.7893 2.8365 6.8188 Å, 65.30 90.00 90.00°
Element x y z (fractional)
Os 0.0000 0.9632 0.0369
Os 0.0000 0.5368 0.4631
Re 0.5000 0.2500 0.2500
Tl 0.5000 0.7500 0.7500

=====

Q: Number 4 is which compound?
A: TlReOs2

=====

Q: Number 4 is which compound?
A: TlReOs2

=====

Q: The lowest E_form belongs to which entry?
A: number 5